# RbPaV2O8

Crystalline RbPaV2O8 at its relaxed geometry (PBE+U, Alexandria via LeMat-Bulk).

```
RbPaV2O8
1.0
-4.883 -1.645 2.893
0.408 -0.854 -5.833
3.215 -7.274 1.290
O V Pa Rb
8 2 1 1
Direct
0.169 0.831 0.837 O
0.169 0.338 0.837 O
0.333 0.667 0.561 O
0.662 0.831 0.837 O
0.831 0.169 0.163 O
0.667 0.333 0.439 O
0.338 0.169 0.163 O
0.831 0.662 0.163 O
0.667 0.333 0.235 V
0.333 0.667 0.765 V
0.000 0.000 0.000 Pa
0.000 0.000 0.500 Rb
```

Computed properties:
- density (Mg/m³) = 3.7
- total DFT energy (no corrections) (eV/atom) = -7.88
- crystal system = trigonal
- calculated volume (Å³ per cell) = 244